# 1
VASP calculation (PBE-GGA) on a relaxed structure of MgMnIr.

Cell and atoms, written as extended XYZ:
```
6
Lattice="1.3781 -7.8223 0.0000 1.3781 7.8223 0.0000 0.0000 0.0000 4.0083" Properties=species:S:1:pos:R:3 pbc="T T T"
Mg 1.3781 4.7030 3.0062
Mg 1.3781 -4.7030 1.0021
Mn 1.3781 7.3230 3.0062
Mn 1.3781 -7.3230 1.0021
Ir 1.3781 1.6672 3.0062
Ir 1.3781 -1.6672 1.0021
```

energy of formation: -0.052 eV/atom
VASP energy: -0.2423 Ha/atom

# 2
VASP calculation (PBE-GGA) on a relaxed structure of Ta2BeCu.

Cell and atoms, written as extended XYZ:
```
4
Lattice="2.7683 0.0000 0.0000 0.0000 2.7683 0.0000 0.0000 0.0000 7.4614" Properties=species:S:1:pos:R:3 pbc="T T T"
Ta 0.0000 0.0000 1.7373
Ta 0.0000 0.0000 5.7240
Be 1.3841 1.3841 0.0000
Cu 1.3841 1.3841 3.7307
```

energy of formation: 0.032 eV/atom
VASP energy: -0.2885 Ha/atom

# 3
VASP calculation (PBE-GGA) on a relaxed structure of SrCa2Tc.

Cell and atoms, written as extended XYZ:
```
4
Lattice="-1.7907 2.9371 6.2315 1.7907 -2.9371 6.2315 1.7907 2.9371 -6.2315" Properties=species:S:1:pos:R:3 pbc="T T T"
Sr 0.0000 0.0000 0.0000
Ca 1.7907 0.0000 3.8818
Ca 0.0000 2.9371 2.3497
Tc 0.0000 0.0000 6.2315
```

energy of formation: 0.534 eV/atom
VASP energy: -0.1278 Ha/atom

# 4
VASP calculation (PBE-GGA) on a relaxed structure of TiNb2Co2.

Cell and atoms, written as extended XYZ:
```
10
Lattice="7.3054 0.0000 0.0000 0.0000 7.3054 0.0000 0.0000 0.0000 2.8508" Properties=species:S:1:pos:R:3 pbc="T T T"
Ti 0.0000 0.0000 0.0000
Ti 3.6527 3.6527 0.0000
Nb 1.1619 2.4908 0.0000
Nb 2.4908 6.1434 0.0000
Nb 4.8146 1.1619 0.0000
Nb 6.1434 4.8146 0.0000
Co 1.0041 4.6568 1.4254
Co 2.6486 1.0041 1.4254
Co 4.6568 6.3013 1.4254
Co 6.3013 2.6486 1.4254
```

energy of formation: 0.060 eV/atom
VASP energy: -0.3083 Ha/atom

# 5
VASP calculation (PBE-GGA) on a relaxed structure of AcTbPm2Tm4.

Cell and atoms, written as extended XYZ:
```
16
Lattice="6.8685 -6.7081 0.0000 6.8685 6.7081 0.0000 -3.4441 0.0000 5.9541" Properties=species:S:1:pos:R:3 pbc="T T T"
Ac 3.4342 3.3541 0.0000
Ac 1.7122 -3.3541 2.9770
Tb 0.0000 0.0000 0.0000
Tb -1.7220 0.0000 2.9770
Pm 1.7122 3.3541 2.9770
Pm 3.4342 -3.3541 0.0000
Pm 6.8685 0.0000 0.0000
Pm 5.1465 0.0000 2.9770
Tm 1.6834 0.1104 2.9539
Tm 5.1031 3.3928 3.0535
Tm 3.4677 3.3928 5.8776
Tm -0.0387 -0.1104 5.9310
Tm 10.3316 0.1104 0.0231
Tm 6.8252 -3.3928 0.0765
Tm 5.1898 -3.3928 2.9006
Tm 8.6096 -0.1104 3.0002
```

energy of formation: 0.441 eV/atom
VASP energy: -0.1497 Ha/atom

# 6
VASP calculation (PBE-GGA) on a relaxed structure of PrSmY2Ho2.

Cell and atoms, written as extended XYZ:
```
12
Lattice="6.5817 0.0000 0.0000 0.0000 17.9352 0.0000 0.0000 0.0000 3.4211" Properties=species:S:1:pos:R:3 pbc="T T T"
Pr 0.0000 0.0000 0.0000
Pr 3.2908 8.9676 1.7105
Sm 0.0000 8.9676 0.0000
Sm 3.2908 0.0000 1.7105
Y 1.4681 3.3473 0.0000
Y 1.8227 12.3149 1.7105
Y 4.7589 5.6204 1.7105
Y 5.1136 14.5880 0.0000
Ho 1.4556 6.3079 1.7105
Ho 1.8352 15.2755 0.0000
Ho 4.7464 2.6598 0.0000
Ho 5.1261 11.6274 1.7105
```

energy of formation: 0.268 eV/atom
VASP energy: -0.1836 Ha/atom

# 7
VASP calculation (PBE-GGA) on a relaxed structure of ScSnCl2.

Cell and atoms, written as extended XYZ:
```
4
Lattice="1.7489 1.0097 9.8589 -1.7489 1.0097 9.8589 0.0000 -2.0194 9.8589" Properties=species:S:1:pos:R:3 pbc="T T T"
Sc 0.0000 0.0000 0.0000
Sn 0.0000 0.0000 14.7883
Cl 0.0000 0.0000 2.3917
Cl 0.0000 0.0000 27.1849
```

VASP energy: -0.1578 Ha/atom

# 8
VASP calculation (PBE-GGA) on a relaxed structure of Ti2FePt.

Cell and atoms, written as extended XYZ:
```
8
Lattice="-1.9576 1.9576 8.5371 1.9576 -1.9576 8.5371 1.9576 1.9576 -8.5371" Properties=species:S:1:pos:R:3 pbc="T T T"
Ti 2.9364 0.9403 -2.1343
Ti 0.9403 0.9788 2.1343
Ti -0.9788 1.0173 6.4028
Ti 1.0173 0.9788 10.6713
Fe 0.0000 0.0000 0.0000
Fe 0.0000 1.9576 4.2685
Pt 1.9576 0.0000 4.2685
Pt 0.0000 0.0000 8.5371
```

energy of formation: 0.061 eV/atom
VASP energy: -0.2761 Ha/atom

# 9
VASP calculation (PBE-GGA) on a relaxed structure of Ga3Pd3Au.

Cell and atoms, written as extended XYZ:
```
14
Lattice="4.4041 -5.5601 0.0000 4.4041 5.5601 0.0000 -2.4364 0.0000 4.8978" Properties=species:S:1:pos:R:3 pbc="T T T"
Ga 0.9746 3.4417 3.7798
Ga 0.6232 0.0000 3.3482
Ga 5.3973 3.4417 1.1180
Ga 0.9746 -3.4417 3.7798
Ga 5.7487 0.0000 1.5496
Ga 5.3973 -3.4417 1.1180
Pd -1.8264 0.0000 3.7048
Pd 3.1860 2.7414 2.4489
Pd 4.4041 1.4905 0.0000
Pd 4.4041 -1.4905 0.0000
Pd 3.1860 -2.7414 2.4489
Pd 8.1983 0.0000 1.1930
Au 2.4082 0.0000 1.2645
Au 3.9637 0.0000 3.6333
```

energy of formation: -0.372 eV/atom
VASP energy: -0.1603 Ha/atom

# 10
VASP calculation (PBE-GGA) on a relaxed structure of PrSb2Pt4.

Cell and atoms, written as extended XYZ:
```
28
Lattice="4.7148 0.0000 0.0000 0.0000 7.3581 0.0000 -0.2235 0.0000 17.1013" Properties=species:S:1:pos:R:3 pbc="T T T"
Pr 1.0401 0.1239 6.0702
Pr 0.9283 3.5552 14.6209
Pr 3.5630 3.8029 2.4804
Pr 3.4512 7.2342 11.0311
Sb 1.2168 3.9752 5.0862
Sb 1.1050 7.0619 13.6369
Sb 1.1937 5.4336 9.0576
Sb 1.3054 5.6034 0.5070
Sb 3.1859 1.7546 16.5944
Sb 3.2976 1.9244 8.0437
Sb 3.3863 0.2962 3.4644
Sb 3.2746 3.3829 12.0151
Pt 0.1734 0.5623 1.3197
Pt 0.0617 3.1168 9.8704
Pt 1.0285 5.0750 11.7754
Pt 1.1403 5.9621 3.2248
Pt 1.1076 0.7644 9.0344
Pt 1.2194 2.9146 0.4837
Pt 1.0794 1.7810 12.0036
Pt 1.1911 1.8980 3.4530
Pt 3.3002 5.4600 13.6483
Pt 3.4119 5.5771 5.0977
Pt 3.2720 4.4435 16.6176
Pt 3.3837 6.5936 8.0669
Pt 3.3511 1.3959 13.8766
Pt 3.4628 2.2831 5.3259
Pt 4.4297 4.2413 7.2309
Pt 4.3179 6.7958 15.7816
```

VASP energy: -0.2206 Ha/atom

# 11
VASP calculation (PBE-GGA) on a relaxed structure of WAu.

Cell and atoms, written as extended XYZ:
```
4
Lattice="1.4167 0.8179 9.7619 -1.4167 0.8179 9.7619 0.0000 -1.6358 9.7619" Properties=species:S:1:pos:R:3 pbc="T T T"
W 0.0000 0.0000 3.6728
W 0.0000 0.0000 25.6131
Au 0.0000 0.0000 11.0304
Au 0.0000 0.0000 18.2555
```

energy of formation: 0.333 eV/atom
VASP energy: -0.2860 Ha/atom

# 12
VASP calculation (PBE-GGA) on a relaxed structure of CuBH3.

Cell and atoms, written as extended XYZ:
```
5
Lattice="3.1187 0.0000 0.0000 0.0000 3.1187 0.0000 0.0000 0.0000 3.1187" Properties=species:S:1:pos:R:3 pbc="T T T"
Cu 0.0000 0.0000 0.0000
B 1.5594 1.5594 1.5594
H 0.0000 1.5594 1.5594
H 1.5594 0.0000 1.5594
H 1.5594 1.5594 0.0000
```

VASP energy: -0.1220 Ha/atom

# 13
VASP calculation (PBE-GGA) on a relaxed structure of La2Tb4Dy5.

Cell and atoms, written as extended XYZ:
```
11
Lattice="12.0224 -1.7245 0.0000 12.0224 1.7245 0.0000 -1.0384 0.0000 8.7465" Properties=species:S:1:pos:R:3 pbc="T T T"
La 1.9352 0.0000 2.1382
La 21.0712 0.0000 6.6083
Tb 0.2304 0.0000 7.5308
Tb 7.6913 0.0000 0.2431
Tb 15.3151 0.0000 8.5034
Tb 22.7761 0.0000 1.2156
Dy 2.7598 0.0000 5.4539
Dy 5.2772 0.0000 2.8540
Dy 11.5032 0.0000 4.3732
Dy 17.7293 0.0000 5.8925
Dy 20.2467 0.0000 3.2925
```

energy of formation: 0.148 eV/atom
VASP energy: -0.1662 Ha/atom

# 14
VASP calculation (PBE-GGA) on a relaxed structure of Mn2NbGeRh.

Cell and atoms, written as extended XYZ:
```
5
Lattice="4.4370 0.0000 0.0000 0.0000 4.4370 0.0000 0.0000 0.0000 4.5013" Properties=species:S:1:pos:R:3 pbc="T T T"
Mn 0.0000 2.2185 0.0000
Mn 2.2185 0.0000 0.0000
Nb 0.0000 0.0000 2.2507
Ge 2.2185 2.2185 0.0000
Rh 2.2185 2.2185 2.2507
```

energy of formation: 0.721 eV/atom
VASP energy: -0.2703 Ha/atom

# 15
VASP calculation (PBE-GGA) on a relaxed structure of Sr2Li6Cd.

Cell and atoms, written as extended XYZ:
```
9
Lattice="5.4858 -3.2861 0.0000 5.4858 3.2861 0.0000 -1.2382 0.0000 6.7212" Properties=species:S:1:pos:R:3 pbc="T T T"
Sr 1.2576 0.0000 2.4754
Sr 8.4757 0.0000 4.2457
Li 3.9496 1.7291 1.0217
Li 5.7837 1.7291 5.6995
Li 3.1493 0.0000 5.5682
Li 6.5841 0.0000 1.1529
Li 3.9496 -1.7291 1.0217
Li 5.7837 -1.7291 5.6995
Cd 4.8667 0.0000 3.3606
```

energy of formation: -0.062 eV/atom
VASP energy: -0.0666 Ha/atom

# 16
VASP calculation (PBE-GGA) on a relaxed structure of TlTcAs.

Cell and atoms, written as extended XYZ:
```
3
Lattice="4.2644 0.0000 0.0000 -2.1322 3.6931 0.0000 0.0000 0.0000 3.8119" Properties=species:S:1:pos:R:3 pbc="T T T"
Tl 0.0000 0.0000 0.0000
Tc 2.1322 1.2310 1.9059
As 0.0000 2.4621 1.9059
```

energy of formation: 0.432 eV/atom
VASP energy: -0.1971 Ha/atom